## TiTl2Tc (GGA-PBEsol)

Data for a relaxed structure of TiTl2Tc.

a = 6.5895 Å, b = 6.5895 Å, c = 6.5895 Å
α = 90.00°, β = 90.00°, γ = 90.00°
Last column: nearest neighbours and their distance in Å.
Space group Fm-3m (No. 225)
Asymmetric unit:
Ti 0.0000 0.0000 0.0000 x4  8 Tl 2.85
Tl 0.2500 0.2500 0.2500 x8  4 Tc 2.85, 4 Ti 2.85
Tc 0.0000 0.0000 0.5000 x4  8 Tl 2.85

Output
calculated formation energy	37.34	kJ/mol of atoms
spin magnetization	0.00	μB per formula unit
crystal system	cubic
raw total energy	-5.8252	eV/atom


## AsPS2 (GGA-PBEsol)

Data for a relaxed structure of AsPS2.

a = 6.2883 Å, b = 6.2883 Å, c = 6.2883 Å
α = 90.00°, β = 90.00°, γ = 90.00°
Last column: nearest neighbours and their distance in Å.
Space group Fm-3m (No. 225)
Asymmetric unit:
As 0.0000 0.0000 0.0000 x4  8 S 2.72
P 0.0000 0.0000 0.5000 x4  8 S 2.72
S 0.2500 0.2500 0.2500 x8  4 As 2.72, 4 P 2.72

Output
spin magnetization	0.00	μB per formula unit
crystal system	cubic
raw total energy	-4.4195	eV/atom


## Li3ZnFe (GGA-PBEsol)

Data for a relaxed structure of Li3ZnFe.

a = 4.6319 Å, b = 4.6319 Å, c = 4.6319 Å
α = 90.00°, β = 90.00°, γ = 90.00°
Last column: nearest neighbours and their distance in Å.
Space group Pm-3m (No. 221)
Asymmetric unit:
Li 0.0000 0.0000 0.5000 x3  2 Fe 2.32
Zn 0.5000 0.5000 0.5000 x1  12 Li 3.28
Fe 0.0000 0.0000 0.0000 x1  6 Li 2.32

Output
calculated formation energy	84.91	kJ/mol of atoms
spin magnetization	2.54	μB per formula unit
crystal system	cubic
raw total energy	-2.4091	eV/atom


## PmHo3 (GGA-PBEsol)

Data for a relaxed structure of PmHo3.

a = 4.9206 Å, b = 4.9206 Å, c = 9.8369 Å
α = 90.00°, β = 90.00°, γ = 90.00°
Last column: nearest neighbours and their distance in Å.
Space group I4/mmm (No. 139)
Asymmetric unit:
Pm 0.0000 0.0000 0.0000 x2  12 Ho 3.48
Ho 0.0000 0.0000 0.5000 x2  8 Ho 3.48, 4 Pm 3.48
Ho 0.0000 0.5000 0.2500 x4  8 Ho 3.48, 4 Pm 3.48

Output
calculated formation energy	1.50	kJ/mol of atoms
spin magnetization	0.00	μB per formula unit
excess energy over the best structure of this formula in the dataset	1.1	meV/atom
crystal system	tetragonal
raw total energy	-4.9812	eV/atom


## MgCu2Tc2 (GGA-PBEsol)

Data for a relaxed structure of MgCu2Tc2.

a = 3.6800 Å, b = 3.6800 Å, c = 11.1494 Å
α = 90.00°, β = 90.00°, γ = 90.00°
Last column: nearest neighbours and their distance in Å.
Space group I4/mmm (No. 139)
Asymmetric unit:
Mg 0.0000 0.0000 0.0000 x2  8 Tc 2.83
Cu 0.0000 0.5000 0.2500 x4  4 Tc 2.50, 4 Cu 2.60
Tc 0.0000 0.0000 0.4013 x4  1 Tc 2.20

Output
calculated formation energy	54.99	kJ/mol of atoms
spin magnetization	0.00	μB per formula unit
crystal system	tetragonal
raw total energy	-6.0136	eV/atom


## LiMo2Br (GGA-PBEsol)

Data for a relaxed structure of LiMo2Br.

a = 3.5562 Å, b = 3.5562 Å, c = 22.0162 Å
α = 90.00°, β = 90.00°, γ = 90.00°
Last column: nearest neighbours and their distance in Å.
Space group I-42d (No. 122)
Asymmetric unit:
Li 0.0000 0.0000 0.0000 x4  4 Br 2.51
Mo 0.2294 0.2500 0.1250 x8  4 Mo 2.41-2.62
Br 0.0000 0.0000 0.5000 x4  4 Li 2.51

Output
spin magnetization	0.00	μB per formula unit
excess energy over the best structure of this formula in the dataset	284.2	meV/atom
crystal system	tetragonal
raw total energy	-6.3215	eV/atom


Number 5 is which compound? MgCu2Tc2